Entry 1:
An optimized crystal structure of CeDyPaIn, computed with PBE.

Properties
Its density of states at the Fermi level is 9.57 states/eV/f.u. Its uncorrected energy is -22.38 eV per cell. The calculation puts the formation energy from the elements at 0.097 eV/atom. Its mass density is 9.988 g/cm3. The space group is F-43m, No. 216.

CIF file:
```
data_CeDyPaIn
_chemical_formula_sum 'Ce1 Dy1 Pa1 In1'
_cell_length_a 5.342
_cell_length_b 5.342
_cell_length_c 5.342
_cell_angle_alpha 60.00
_cell_angle_beta 60.00
_cell_angle_gamma 60.00
_space_group_name_H-M_alt 'P 1'
_space_group_IT_number 1
loop_
_space_group_symop_operation_xyz
'x,y,z'
loop_
_atom_site_label
_atom_site_type_symbol
_atom_site_fract_x
_atom_site_fract_y
_atom_site_fract_z
Ce1 Ce 0.000 0.000 0.000
Dy1 Dy 0.500 0.500 0.500
Pa1 Pa 0.250 0.250 0.250
In1 In 0.750 0.750 0.750
```

Entry 2:
An optimized crystal structure of CeDyInPb, computed with PBE.

Properties
Its density of states at the Fermi level is 8.53 states/eV/f.u. Its uncorrected energy is -18.47 eV per cell. The calculation puts the formation energy from the elements at -0.373 eV/atom. Its mass density is 9.066 g/cm3. As for the energy above the most stable polymorph in this dataset: 34 meV per atom. The space group is F-43m, No. 216.

CIF file:
```
data_CeDyInPb
_chemical_formula_sum 'Ce1 Dy1 In1 Pb1'
_cell_length_a 5.449
_cell_length_b 5.449
_cell_length_c 5.449
_cell_angle_alpha 60.00
_cell_angle_beta 60.00
_cell_angle_gamma 60.00
_space_group_name_H-M_alt 'P 1'
_space_group_IT_number 1
loop_
_space_group_symop_operation_xyz
'x,y,z'
loop_
_atom_site_label
_atom_site_type_symbol
_atom_site_fract_x
_atom_site_fract_y
_atom_site_fract_z
Ce1 Ce 0.000 0.000 0.000
Dy1 Dy 0.500 0.500 0.500
In1 In 0.750 0.750 0.750
Pb1 Pb 0.250 0.250 0.250
```

Entry 3:
An optimized crystal structure of CeDyInPb, computed with PBE.

Properties
Its density of states at the Fermi level is 8.65 states/eV/f.u. Its uncorrected energy is -18.61 eV per cell. The calculation puts the formation energy from the elements at -0.406 eV/atom. Its mass density is 9.221 g/cm3. As for the energy above the most stable polymorph in this dataset: 0 meV per atom. The space group is I-4m2, No. 119.

CIF file:
```
data_CeDyInPb
_chemical_formula_sum 'Ce1 Dy1 In1 Pb1'
_cell_length_a 5.702
_cell_length_b 5.702
_cell_length_c 5.702
_cell_angle_alpha 127.75
_cell_angle_beta 127.75
_cell_angle_gamma 77.03
_space_group_name_H-M_alt 'P 1'
_space_group_IT_number 1
loop_
_space_group_symop_operation_xyz
'x,y,z'
loop_
_atom_site_label
_atom_site_type_symbol
_atom_site_fract_x
_atom_site_fract_y
_atom_site_fract_z
Ce1 Ce 0.000 0.000 0.000
Dy1 Dy 0.500 0.500 0.000
In1 In 0.250 0.750 0.500
Pb1 Pb 0.750 0.250 0.500
```

Entry 4:
An optimized crystal structure of CeDyInPd, computed with PBE.

Properties
Its density of states at the Fermi level is 7.68 states/eV/f.u. Its uncorrected energy is -20.36 eV per cell. The calculation puts the formation energy from the elements at -0.474 eV/atom. Its mass density is 8.599 g/cm3. The space group is F-43m, No. 216.

CIF file:
```
data_CeDyInPd
_chemical_formula_sum 'Ce1 Dy1 In1 Pd1'
_cell_length_a 5.230
_cell_length_b 5.230
_cell_length_c 5.230
_cell_angle_alpha 60.00
_cell_angle_beta 60.00
_cell_angle_gamma 60.00
_space_group_name_H-M_alt 'P 1'
_space_group_IT_number 1
loop_
_space_group_symop_operation_xyz
'x,y,z'
loop_
_atom_site_label
_atom_site_type_symbol
_atom_site_fract_x
_atom_site_fract_y
_atom_site_fract_z
Ce1 Ce 0.000 0.000 0.000
Dy1 Dy 0.500 0.500 0.500
In1 In 0.250 0.250 0.250
Pd1 Pd 0.750 0.750 0.750
```

Entry 5:
An optimized crystal structure of CePmDyIn, computed with PBE.

Properties
Its density of states at the Fermi level is 6.24 states/eV/f.u. Its uncorrected energy is -18.36 eV per cell. The calculation puts the formation energy from the elements at -0.083 eV/atom. Its mass density is 8.186 g/cm3. The space group is F-43m, No. 216.

CIF file:
```
data_CePmDyIn
_chemical_formula_sum 'Ce1 Pm1 Dy1 In1'
_cell_length_a 5.444
_cell_length_b 5.444
_cell_length_c 5.444
_cell_angle_alpha 60.00
_cell_angle_beta 60.00
_cell_angle_gamma 60.00
_space_group_name_H-M_alt 'P 1'
_space_group_IT_number 1
loop_
_space_group_symop_operation_xyz
'x,y,z'
loop_
_atom_site_label
_atom_site_type_symbol
_atom_site_fract_x
_atom_site_fract_y
_atom_site_fract_z
Ce1 Ce 0.000 0.000 0.000
Pm1 Pm 0.250 0.250 0.250
Dy1 Dy 0.750 0.750 0.750
In1 In 0.500 0.500 0.500
```

Entry 6:
An optimized crystal structure of Ce2PrDyIn4, computed with PBE.

Properties
Its density of states at the Fermi level is 15.85 states/eV/f.u. Its uncorrected energy is -35.37 eV per cell. The calculation puts the formation energy from the elements at -0.395 eV/atom. Its mass density is 7.583 g/cm3. The space group is R-3m, No. 166.

CIF file:
```
data_Ce2PrDyIn4
_chemical_formula_sum 'Ce2 Pr1 Dy1 In4'
_cell_length_a 9.448
_cell_length_b 9.448
_cell_length_c 9.448
_cell_angle_alpha 33.46
_cell_angle_beta 33.46
_cell_angle_gamma 33.46
_space_group_name_H-M_alt 'P 1'
_space_group_IT_number 1
loop_
_space_group_symop_operation_xyz
'x,y,z'
loop_
_atom_site_label
_atom_site_type_symbol
_atom_site_fract_x
_atom_site_fract_y
_atom_site_fract_z
Ce1 Ce 0.249 0.249 0.249
Ce2 Ce 0.751 0.751 0.751
Pr1 Pr 0.000 0.000 0.000
Dy1 Dy 0.500 0.500 0.500
In1 In 0.126 0.126 0.126
In2 In 0.377 0.377 0.377
In3 In 0.623 0.623 0.623
In4 In 0.874 0.874 0.874
```

Please write out number 2 again, unchanged.
An optimized crystal structure of CeDyInPb, computed with PBE.

Properties
Its density of states at the Fermi level is 8.53 states/eV/f.u. Its uncorrected energy is -18.47 eV per cell. The calculation puts the formation energy from the elements at -0.373 eV/atom. Its mass density is 9.066 g/cm3. As for the energy above the most stable polymorph in this dataset: 34 meV per atom. The space group is F-43m, No. 216.

CIF file:
```
data_CeDyInPb
_chemical_formula_sum 'Ce1 Dy1 In1 Pb1'
_cell_length_a 5.449
_cell_length_b 5.449
_cell_length_c 5.449
_cell_angle_alpha 60.00
_cell_angle_beta 60.00
_cell_angle_gamma 60.00
_space_group_name_H-M_alt 'P 1'
_space_group_IT_number 1
loop_
_space_group_symop_operation_xyz
'x,y,z'
loop_
_atom_site_label
_atom_site_type_symbol
_atom_site_fract_x
_atom_site_fract_y
_atom_site_fract_z
Ce1 Ce 0.000 0.000 0.000
Dy1 Dy 0.500 0.500 0.500
In1 In 0.750 0.750 0.750
Pb1 Pb 0.250 0.250 0.250
```

Repeat the second record exactly.
An optimized crystal structure of CeDyInPb, computed with PBE.

Properties
Its density of states at the Fermi level is 8.53 states/eV/f.u. Its uncorrected energy is -18.47 eV per cell. The calculation puts the formation energy from the elements at -0.373 eV/atom. Its mass density is 9.066 g/cm3. As for the energy above the most stable polymorph in this dataset: 34 meV per atom. The space group is F-43m, No. 216.

CIF file:
```
data_CeDyInPb
_chemical_formula_sum 'Ce1 Dy1 In1 Pb1'
_cell_length_a 5.449
_cell_length_b 5.449
_cell_length_c 5.449
_cell_angle_alpha 60.00
_cell_angle_beta 60.00
_cell_angle_gamma 60.00
_space_group_name_H-M_alt 'P 1'
_space_group_IT_number 1
loop_
_space_group_symop_operation_xyz
'x,y,z'
loop_
_atom_site_label
_atom_site_type_symbol
_atom_site_fract_x
_atom_site_fract_y
_atom_site_fract_z
Ce1 Ce 0.000 0.000 0.000
Dy1 Dy 0.500 0.500 0.500
In1 In 0.750 0.750 0.750
Pb1 Pb 0.250 0.250 0.250
```

Please write out number 4 again, unchanged.
An optimized crystal structure of CeDyInPd, computed with PBE.

Properties
Its density of states at the Fermi level is 7.68 states/eV/f.u. Its uncorrected energy is -20.36 eV per cell. The calculation puts the formation energy from the elements at -0.474 eV/atom. Its mass density is 8.599 g/cm3. The space group is F-43m, No. 216.

CIF file:
```
data_CeDyInPd
_chemical_formula_sum 'Ce1 Dy1 In1 Pd1'
_cell_length_a 5.230
_cell_length_b 5.230
_cell_length_c 5.230
_cell_angle_alpha 60.00
_cell_angle_beta 60.00
_cell_angle_gamma 60.00
_space_group_name_H-M_alt 'P 1'
_space_group_IT_number 1
loop_
_space_group_symop_operation_xyz
'x,y,z'
loop_
_atom_site_label
_atom_site_type_symbol
_atom_site_fract_x
_atom_site_fract_y
_atom_site_fract_z
Ce1 Ce 0.000 0.000 0.000
Dy1 Dy 0.500 0.500 0.500
In1 In 0.250 0.250 0.250
Pd1 Pd 0.750 0.750 0.750
```

> mass density of number 4 (CeDyInPd)?

8.599 g/cm3